[1]
A geometry-optimized TbSiAg2S4 structure. Source: Alexandria, functional PBE.

a b c (Å): 7.2781 7.8558 11.0722
angles (deg): 90.00 90.00 90.00
Last column: nearest neighbours and their distance in Å.
Space group Imma (No. 74)
One atom of each set of equivalent atoms:
Tb  0.0000  0.0000  0.0000 x4  6 S 2.72-2.75
Si  0.2500  0.2500  0.2500 x4  6 S 2.44-2.51
Ag  0.0000  0.0000  0.5000 x4  6 S 2.68-2.80
Ag  0.2500  0.2500  0.7500 x4  6 S 2.85-3.10
S  0.0000  0.0296  0.2477 x8  2 Si 2.51, 1 Tb 2.75, 1 Ag 2.80
S  0.2463  0.2500  0.4703 x8  1 Si 2.44, 2 Ag 2.68, 2 Tb 2.72

Summary:
crystal system	orthorhombic
energy	-0.345	Ry/atom
N(E_F)	6.19	states/eV/cell
ΔE_f (raw)	-0.666	eV per atom

---

[2]
A geometry-optimized TbSiAgS4 structure. Source: Alexandria, functional PBE.

a b c (Å): 6.4578 6.6395 7.6044
angles (deg): 90.00 94.16 90.00
Last column: nearest neighbours and their distance in Å.
Space group P2_1/m (No. 11)
One atom of each set of equivalent atoms:
Tb  0.2239  0.2500  0.0573 x2  6 S 2.72-2.88
Si  0.2842  0.7500  0.8109 x2  4 S 2.08-2.16
Ag  0.1333  0.2500  0.5122 x2  3 S 2.58-2.64
S  0.0669  0.5034  0.7704 x4  1 Si 2.16
S  0.3931  0.7500  0.0801 x2  1 Si 2.12
S  0.4771  0.2500  0.3589 x2  1 Si 2.08

Summary:
crystal system	monoclinic
energy	-0.382	Ry/atom
N(E_F)	0.00	states/eV/cell
ΔE_f (raw)	-0.993	eV per atom

---

[3]
A geometry-optimized Si2AgTeS structure. Source: Alexandria, functional PBE.

a b c (Å): 5.0140 5.0140 4.6954
angles (deg): 90.00 90.00 90.00
Last column: nearest neighbours and their distance in Å.
Space group P4/mmm (No. 123)
One atom of each set of equivalent atoms:
Si  0.0000  0.5000  0.0000 x2  2 Ag 2.51
Ag  0.0000  0.0000  0.0000 x1  2 S 2.35, 4 Si 2.51
Te  0.5000  0.5000  0.5000 x1  8 Si 3.43, 4 S 3.55
S  0.0000  0.0000  0.5000 x1  2 Ag 2.35

Summary:
crystal system	tetragonal
energy	-0.244	Ry/atom
N(E_F)	3.52	states/eV/cell
ΔE_f (raw)	0.870	eV per atom

---

[4]
A geometry-optimized TlSiAg2S4 structure. Source: Alexandria, functional PBE.

a b c (Å): 6.6722 6.6722 8.2172
angles (deg): 90.00 90.00 90.00
Last column: nearest neighbours and their distance in Å.
Space group I-42m (No. 121)
One atom of each set of equivalent atoms:
Tl  0.0000  0.0000  0.0000 x2  8 S 3.18-3.41
Si  0.0000  0.0000  0.5000 x2  4 S 2.14
Ag  0.0000  0.5000  0.2500 x4  4 S 2.58
S  0.1879  0.1879  0.3544 x8  1 Si 2.14

Summary:
crystal system	tetragonal
energy	-0.302	Ry/atom
N(E_F)	6.98	states/eV/cell
ΔE_f (raw)	-0.358	eV per atom

---

[5]
A geometry-optimized Tl2SiAgS4 structure. Source: Alexandria, functional PBE.

a b c (Å): 7.3477 8.4751 10.9911
angles (deg): 90.00 90.00 90.00
Last column: nearest neighbours and their distance in Å.
Space group Imma (No. 74)
One atom of each set of equivalent atoms:
Tl  0.0000  0.0000  0.0000 x4  6 S 2.87-2.91
Tl  0.2500  0.2500  0.2500 x4  6 S 3.19-3.20
Si  0.2500  0.2500  0.7500 x4  6 S 2.31-2.45
Ag  0.0000  0.0000  0.5000 x4  6 S 2.72-2.77
S  0.0000  0.0587  0.7432 x8  2 Si 2.45, 1 Ag 2.72
S  0.2354  0.2500  0.5397 x8  1 Si 2.31

Summary:
crystal system	orthorhombic
energy	-0.286	Ry/atom
N(E_F)	6.10	states/eV/cell
ΔE_f (raw)	-0.202	eV per atom

---

[6]
A geometry-optimized YSiAgS4 structure. Source: Alexandria, functional PBE.

a b c (Å): 6.4518 6.6469 7.5980
angles (deg): 90.00 94.11 90.00
Last column: nearest neighbours and their distance in Å.
Space group P2_1/m (No. 11)
One atom of each set of equivalent atoms:
Y  0.2241  0.2500  0.0570 x2  6 S 2.71-2.88
Si  0.2851  0.7500  0.8118 x2  4 S 2.08-2.16
Ag  0.1323  0.2500  0.5133 x2  3 S 2.58-2.64
S  0.0673  0.5038  0.7712 x4  1 Si 2.16
S  0.3949  0.7500  0.0809 x2  1 Si 2.11
S  0.4753  0.2500  0.3580 x2  1 Si 2.08

Summary:
crystal system	monoclinic
energy	-0.401	Ry/atom
N(E_F)	0.00	states/eV/cell
ΔE_f (raw)	-0.990	eV per atom